No. 1
## BiAsBr2F (GGA-PBE)

Data for a geometry-optimized BiAsBr2F structure.

Geometry as extended XYZ:
```
5
Lattice="5.655 0.000 0.000 0.000 5.655 0.000 0.000 0.000 3.918" Properties=species:S:1:pos:R:3 pbc="T T T"
F 0.000 0.000 0.000
As 0.000 0.000 1.959
Br 2.827 0.000 0.000
Br 0.000 2.827 0.000
Bi 2.827 2.827 1.959
```

Results
* ΔE_f (raw): -104 meV/atom
* total moment: 0.000 μB/atom
* polymorph energy (0 for the lowest one): 0 meV per atom
* energy: -14.27 eV/cell
* space group: No. 123


No. 2
## K3Tb2NpS6 (GGA-PBE)

Data for a geometry-optimized K3Tb2NpS6 structure.

Geometry as extended XYZ:
```
12
Lattice="7.083 0.001 0.002 -3.538 6.135 0.002 -1.180 -2.044 7.369" Properties=species:S:1:pos:R:3 pbc="T T T"
Np 0.000 0.000 0.000
S 0.007 0.013 5.872
S 2.374 0.002 1.492
S -0.010 4.091 5.880
S 2.357 4.080 1.500
S 3.549 2.036 5.880
S -1.185 2.058 1.492
K -2.350 4.087 3.686
K 4.714 0.007 3.686
K 1.182 2.047 3.686
Tb 0.010 4.086 0.002
Tb 3.535 2.051 0.002
```

Results
* ΔE_f (raw): -1707 meV/atom
* total moment: 0.333 μB/atom
* energy: -70.75 eV/cell
* space group: No. 12


No. 3
## TmGa2Rh (GGA-PBE)

Data for a geometry-optimized TmGa2Rh structure.

Geometry as extended XYZ:
```
4
Lattice="-3.641 -0.440 -2.764 -2.734 -3.672 0.371 -4.242 0.457 1.700" Properties=species:S:1:pos:R:3 pbc="T T T"
Rh -5.309 -1.827 -0.347
Ga -2.654 -0.914 -0.173
Ga -7.963 -2.741 -0.520
Tm 0.000 0.000 0.000
```

Results
* total moment: 0.000 μB/atom
* energy: -20.39 eV/cell
* ΔE_f: -629 meV per atom
* space group: No. 225


No. 4
## MgZrTaFe2 (GGA-PBE)

Data for a geometry-optimized MgZrTaFe2 structure.

Geometry as extended XYZ:
```
5
Lattice="-0.165 -1.507 4.335 3.208 -3.788 -1.195 3.569 2.685 1.069" Properties=species:S:1:pos:R:3 pbc="T T T"
Ta 0.000 0.000 0.000
Fe 1.785 1.342 0.535
Fe -0.082 -0.754 2.167
Zr 1.604 -1.894 -0.598
Mg 3.306 -1.305 2.104
```

Results
* total moment: 0.582 μB/atom
* energy: -33.38 eV/cell
* ΔE_f: 1108 meV per atom
* space group: No. 123


No. 5
## Rb2PrBe2S4 (GGA-PBE)

Data for a geometry-optimized Rb2PrBe2S4 structure.

Geometry as extended XYZ:
```
9
Lattice="3.750 0.000 0.000 0.000 8.343 0.149 -1.875 -3.165 6.898" Properties=species:S:1:pos:R:3 pbc="T T T"
S 1.875 6.165 0.619
S 0.000 -0.268 2.908
S 0.000 -0.987 6.428
S 1.875 5.446 4.139
Pr 0.000 0.000 0.000
Rb 1.875 1.385 5.188
Rb 0.000 3.793 1.860
Be 0.000 -1.790 4.520
Be 1.875 6.968 2.527
```

Results
* ΔE_f (raw): -1188 meV/atom
* total moment: 0.041 μB/atom
* energy: -41.37 eV/cell
* space group: No. 12


No. 6
## ZrNbAgCl2 (GGA-PBE)

Data for a geometry-optimized ZrNbAgCl2 structure.

Geometry as extended XYZ:
```
5
Lattice="-1.922 -4.238 0.227 4.795 -2.277 -1.919 1.532 -0.461 4.376" Properties=species:S:1:pos:R:3 pbc="T T T"
Cl 0.766 -0.230 2.188
Cl -0.961 -2.119 0.113
Ag 2.398 -1.139 -0.959
Zr 2.203 -3.488 1.342
Nb 0.000 0.000 0.000
```

Results
* ΔE_f (raw): 408 meV/atom
* total moment: 0.297 μB/atom
* energy: -23.12 eV/cell
* space group: No. 123